Material: Li4Te3Au
Method: DFT, PBE
State: optimized geometry

```
16
Lattice="7.175 0.000 0.000 -3.587 5.649 -1.727 0.000 1.007 9.306" Properties=species:S:1:pos:R:3 pbc="T T T"
Te 3.487 2.615 7.847
Te -0.039 3.862 4.098
Te 0.039 3.359 -0.555
Te -3.369 6.193 5.404
Te 3.688 2.112 3.194
Te 3.369 5.689 0.751
Li 2.472 3.401 5.355
Li 1.234 0.893 0.128
Li -1.586 4.209 6.484
Li 2.454 5.357 7.787
Li 1.586 3.706 1.831
Li 5.941 1.396 4.781
Li 4.703 2.897 0.702
Li -2.454 4.854 3.134
Au -1.078 5.453 0.703
Au 1.078 5.957 5.356
```

## Properties
energy relative to the elements, uncorrected	-5.461	eV/f.u.
N(E_F)	2.49	states/eV/f.u.
VASP energy	-51.64	eV per cell

Material: RbErPb2Br8
Method: DFT, PBE
State: optimized geometry

```
12
Lattice="7.237 0.045 -0.003 0.093 6.871 -0.004 0.009 0.016 9.351" Properties=species:S:1:pos:R:3 pbc="T T T"
Pb 3.672 3.468 7.028
Pb 3.667 3.463 2.317
Br 1.182 5.229 1.964
Br 2.320 1.637 0.000
Br 6.157 1.702 7.380
Br 2.777 1.869 4.675
Br 5.019 5.294 9.344
Br 1.193 5.244 7.383
Br 4.562 5.062 4.669
Br 6.146 1.688 1.962
Rb 0.004 0.008 4.676
Er 0.000 0.000 0.000
```

## Properties
energy relative to the elements, uncorrected	-16.200	eV/f.u.
N(E_F)	0.00	states/eV/f.u.
VASP energy	-42.53	eV per cell

Material: Tb6HoTm2Sc3
Method: DFT, PBE
State: optimized geometry

```
12
Lattice="-5.396 -0.637 -2.623 4.350 -4.050 -1.035 -3.200 -4.493 9.984" Properties=species:S:1:pos:R:3 pbc="T T T"
Sc 1.125 -5.728 3.692
Sc -2.123 -4.590 3.163
Sc -5.370 -3.453 2.634
Tb -2.714 -1.774 1.384
Tb -1.532 -7.407 4.942
Tb -2.634 -4.494 6.505
Tb -1.612 -4.687 -0.179
Tb 0.536 -2.912 1.914
Tb -4.781 -6.269 4.412
Ho 0.000 0.000 0.000
Tm -2.147 -1.775 -2.094
Tm 1.101 -2.912 -1.564
```

## Properties
DFT formation energy	0.51	eV per formula unit
N(E_F)	16.72	states/eV/f.u.
VASP energy	-59.79	eV per cell

Material: CsSbTe6Au
Method: DFT, PBE
State: optimized geometry

```
18
Lattice="-2.748 7.683 -6.954 -6.489 -5.824 -3.871 -0.124 1.400 9.859" Properties=species:S:1:pos:R:3 pbc="T T T"
Cs -6.800 4.253 -0.878
Cs -2.561 -0.995 -0.087
Te -7.179 0.448 0.007
Te -4.247 2.999 -3.272
Te -5.115 0.259 2.307
Te -3.052 0.069 4.608
Te -4.157 3.161 1.810
Te -3.288 5.901 -3.770
Te -6.310 3.189 -5.573
Te -2.183 2.810 -0.972
Te -5.204 0.097 -2.775
Te -6.073 -2.643 2.805
Te -2.920 6.853 0.462
Te -6.441 -3.595 -1.427
Au -1.374 3.841 -3.477
Au -4.619 0.929 -5.412
Sb -0.062 0.700 4.930
Sb -1.436 4.541 1.453
```

## Properties
energy relative to the elements, uncorrected	-1.114	eV/f.u.
N(E_F)	4.23	states/eV/f.u.
VASP energy	-56.43	eV per cell

Material: SmZrGa
Method: DFT, PBE
State: optimized geometry

```
3
Lattice="3.234 0.000 0.000 0.000 3.234 0.000 -1.617 -1.617 6.778" Properties=species:S:1:pos:R:3 pbc="T T T"
Zr 0.000 0.000 4.225
Ga 1.617 1.617 2.369
Sm 0.000 0.000 0.183
```

## Properties
offset from the most stable computed form	166	meV/atom
DFT formation energy	-0.74	eV per formula unit
N(E_F)	3.68	states/eV/f.u.
VASP energy	-17.03	eV per cell

Material: TlNiHgCl6
Method: DFT, PBE
State: optimized geometry

```
9
Lattice="6.933 0.000 0.163 3.467 5.545 0.082 0.163 0.000 6.781" Properties=species:S:1:pos:R:3 pbc="T T T"
Cl 1.536 1.954 1.956
Cl 4.404 0.249 2.155
Cl 5.560 1.953 4.987
Cl 4.536 3.398 2.173
Cl 2.692 0.249 4.788
Cl 2.560 3.398 4.772
Tl 7.096 0.025 6.944
Ni 3.548 1.855 3.472
Hg 7.014 3.553 3.553
```

## Properties
energy relative to the elements, uncorrected	-5.504	eV/f.u.
VASP energy	-25.03	eV per cell

Material: LiBe2Tc
Method: DFT, PBE
State: optimized geometry

```
4
Lattice="-0.054 2.389 -1.055 -2.611 -0.015 0.098 0.208 2.621 5.924" Properties=species:S:1:pos:R:3 pbc="T T T"
Li 0.097 1.219 2.756
Tc -1.169 3.252 4.188
Be 0.009 0.107 0.243
Be -1.289 1.727 0.742
```

## Properties
offset from the most stable computed form	217	meV/atom
DFT formation energy	0.66	eV per formula unit
N(E_F)	2.25	states/eV/f.u.
VASP energy	-19.07	eV per cell

Material: BaLiP2S
Method: DFT, PBE
State: optimized geometry

```
5
Lattice="6.105 0.000 0.000 0.000 6.105 0.000 0.000 0.000 5.828" Properties=species:S:1:pos:R:3 pbc="T T T"
Ba 0.000 0.000 0.000
P 0.000 3.052 0.000
P 3.052 0.000 0.000
Li 3.052 3.052 2.914
S 0.000 0.000 2.914
```

## Properties
offset from the most stable computed form	960	meV/atom
energy relative to the elements, uncorrected	3.656	eV/f.u.
N(E_F)	4.08	states/eV/f.u.
VASP energy	-15.13	eV per cell

Material: ScRhPb
Method: DFT, PBE
State: optimized geometry

```
3
Lattice="-5.214 -3.186 0.562 -3.951 -3.029 3.588 -2.288 2.200 0.840" Properties=species:S:1:pos:R:3 pbc="T T T"
Pb -9.075 -6.104 4.106
Sc -7.050 -3.626 3.131
Rh -4.494 -0.499 1.902
```

## Properties
DFT formation energy	-1.37	eV per formula unit
N(E_F)	1.62	states/eV/f.u.
VASP energy	-18.76	eV per cell

Material: CsPW2
Method: DFT, PBE
State: optimized geometry

```
8
Lattice="5.007 0.000 0.000 0.000 5.007 0.000 2.503 2.503 8.664" Properties=species:S:1:pos:R:3 pbc="T T T"
W 2.351 3.755 2.166
W 2.656 1.252 2.166
W 6.258 5.159 6.498
W 3.755 4.854 6.498
P 2.503 2.503 0.000
P 2.503 5.007 4.332
Cs 0.000 0.000 0.000
Cs 5.007 2.503 4.332
```

## Properties
DFT formation energy	5.42	eV per formula unit
N(E_F)	4.85	states/eV/f.u.
VASP energy	-53.50	eV per cell

Material: ZnMo2Os
Method: DFT, PBE
State: optimized geometry

```
8
Lattice="-1.180 2.349 6.758 -0.059 -6.853 2.371 1.949 -2.133 4.972" Properties=species:S:1:pos:R:3 pbc="T T T"
Zn -0.619 -2.252 4.565
Zn 0.635 -5.619 5.954
Os 0.075 -1.018 8.148
Os 0.000 0.000 0.000
Mo -0.300 0.162 6.004
Mo 0.999 -3.045 7.068
Mo 0.376 -5.784 11.802
Mo 0.345 -4.606 3.329
```

## Properties
DFT formation energy	2.83	eV per formula unit
N(E_F)	2.25	states/eV/f.u.
VASP energy	-62.67	eV per cell

Material: In2HgP
Method: DFT, PBE
State: optimized geometry

```
4
Lattice="-3.301 -2.198 0.589 0.329 -3.865 1.012 -0.943 -0.152 7.500" Properties=species:S:1:pos:R:3 pbc="T T T"
P -0.979 -1.554 2.275
In -2.964 -5.973 1.892
In -1.965 -3.198 4.259
Hg -2.936 -4.661 6.825
```

## Properties
offset from the most stable computed form	0	meV/atom
DFT formation energy	-0.09	eV per formula unit
N(E_F)	1.37	states/eV/f.u.
VASP energy	-11.28	eV per cell